A relaxed structure of DyMnCrO5. Source: the Alexandria database, functional PBE+U.

The total energy comes out at -7.809 eV per atom. The calculation puts the theoretical density at 6.4 g cm⁻³. The calculation puts the calculated volume at 11.34 Å³/atom.

The structure belongs to space group Pbam (No. 55); the cell edges are 7.203, 8.611 and 5.852 Å and the angles 90.00°, 90.00° and 90.00°. Symmetry generates all atoms from Dy at (0.134, 0.174, 0.000), Mn at (0.094, 0.850, 0.500), Cr at (0.000, 0.500, 0.251), O at (0.000, 0.000, 0.278), O at (0.112, 0.710, 0.241), O at (0.145, 0.415, 0.500) and O at (0.171, 0.445, 0.000).